Entry 1:
Material: NaCa2VF8
Method: DFT, PBE with a Hubbard U
State: relaxed

The value obtained for the total DFT energy (no corrections) is -5.701 eV per atom. Its total magnetization is 2.000 μB per formula unit.

The structure belongs to space group P2/m (No. 10); the cell edges are 5.025, 7.043 and 5.108 Å and the angles 90.00°, 90.91° and 90.00°. The asymmetric unit holds Na at (0.000, 0.000, 0.000), Ca at (0.500, 0.249, 0.500), V at (0.000, 0.500, 0.000), F at (0.190, 0.295, 0.817), F at (0.282, 0.500, 0.286) and F at (0.305, 0.000, 0.311).



Entry 2:
Material: Na2CaVF6
Method: DFT, PBE with a Hubbard U
State: relaxed

The value obtained for the total DFT energy (no corrections) is -5.398 eV per atom. Its total magnetization is 3.000 μB per formula unit.

The structure belongs to space group P2_1/c (No. 14); the cell edges are 5.706, 5.916 and 10.007 Å and the angles 90.00°, 124.60° and 90.00°. The asymmetric unit holds Na at (0.241, 0.053, 0.253), Ca at (0.500, 0.000, 0.000), V at (0.000, 0.000, 0.500), F at (0.108, 0.199, 0.930), F at (0.244, 0.682, 0.938) and F at (0.365, 0.066, 0.741).



Entry 3:
Material: Na2CaWF8
Method: DFT, PBE with a Hubbard U
State: relaxed

The value obtained for the total DFT energy (no corrections) is -5.292 eV per atom. Its total magnetization is 1.998 μB per formula unit.

The structure belongs to space group Pmmm (No. 47); the cell edges are 3.696, 5.561 and 7.725 Å and the angles 90.00°, 90.00° and 90.00°. The asymmetric unit holds Na at (0.000, 0.000, 0.234), Ca at (0.500, 0.500, 0.000), W at (0.500, 0.500, 0.500), F at (0.000, 0.256, 0.000), F at (0.000, 0.290, 0.500) and F at (0.500, 0.275, 0.284).



Copy entry 3 word for word.
Material: Na2CaWF8
Method: DFT, PBE with a Hubbard U
State: relaxed

The value obtained for the total DFT energy (no corrections) is -5.292 eV per atom. Its total magnetization is 1.998 μB per formula unit.

The structure belongs to space group Pmmm (No. 47); the cell edges are 3.696, 5.561 and 7.725 Å and the angles 90.00°, 90.00° and 90.00°. The asymmetric unit holds Na at (0.000, 0.000, 0.234), Ca at (0.500, 0.500, 0.000), W at (0.500, 0.500, 0.500), F at (0.000, 0.256, 0.000), F at (0.000, 0.290, 0.500) and F at (0.500, 0.275, 0.284).



Copy entry 3 word for word.
Material: Na2CaWF8
Method: DFT, PBE with a Hubbard U
State: relaxed

The value obtained for the total DFT energy (no corrections) is -5.292 eV per atom. Its total magnetization is 1.998 μB per formula unit.

The structure belongs to space group Pmmm (No. 47); the cell edges are 3.696, 5.561 and 7.725 Å and the angles 90.00°, 90.00° and 90.00°. The asymmetric unit holds Na at (0.000, 0.000, 0.234), Ca at (0.500, 0.500, 0.000), W at (0.500, 0.500, 0.500), F at (0.000, 0.256, 0.000), F at (0.000, 0.290, 0.500) and F at (0.500, 0.275, 0.284).